(1)
# BaTi2Zn | Alexandria via LeMat-Bulk | PBE | optimized geometry
# - formation energy (meV per atom) = 694
data_BaTi2Zn
_cell_length_a 4.6816
_cell_length_b 4.6816
_cell_length_c 20.6567
_cell_angle_alpha 90.00
_cell_angle_beta 90.00
_cell_angle_gamma 90.00
_symmetry_space_group_name_H-M 'I -4 2 d'
_symmetry_Int_Tables_number 122
_symmetry_space_group_name_Hall 'I -4 2bw'
loop_
_atom_site_label
_atom_site_fract_x
_atom_site_fract_y
_atom_site_fract_z
_atom_site_occupancy
Ba1 0.0000 0.0000 0.0000 1
Ti1 0.0331 0.7500 0.6250 1
Zn1 0.0000 0.0000 0.5000 1

(2)
# LiBePd3 | Alexandria via LeMat-Bulk | PBE | optimized geometry
# - formation energy (meV per atom) = -218
data_LiBePd3
_cell_length_a 4.2464
_cell_length_b 4.2464
_cell_length_c 4.2464
_cell_angle_alpha 90.00
_cell_angle_beta 90.00
_cell_angle_gamma 90.00
_symmetry_space_group_name_H-M 'P m -3 m'
_symmetry_Int_Tables_number 221
_symmetry_space_group_name_Hall '-P 4 2 3'
loop_
_atom_site_label
_atom_site_fract_x
_atom_site_fract_y
_atom_site_fract_z
_atom_site_occupancy
Li1 0.0000 0.0000 0.0000 1
Be1 0.5000 0.5000 0.5000 1
Pd1 0.0000 0.5000 0.5000 1

(3)
# CaRh2Au | Alexandria via LeMat-Bulk | PBE | optimized geometry
# - formation energy (meV per atom) = -102
data_CaRh2Au
_cell_length_a 5.8891
_cell_length_b 7.6050
_cell_length_c 3.0912
_cell_angle_alpha 90.00
_cell_angle_beta 90.00
_cell_angle_gamma 90.00
_symmetry_space_group_name_H-M 'C m m m'
_symmetry_Int_Tables_number 65
_symmetry_space_group_name_Hall '-C 2 2'
loop_
_atom_site_label
_atom_site_fract_x
_atom_site_fract_y
_atom_site_fract_z
_atom_site_occupancy
Ca1 0.0000 0.0000 0.0000 1
Rh1 0.2500 0.2500 0.5000 1
Au1 0.0000 0.5000 0.0000 1

(4)
# Ho6ScIn3 | Alexandria via LeMat-Bulk | PBE | optimized geometry
# - formation energy (meV per atom) = -170
data_Ho6ScIn3
_cell_length_a 12.4928
_cell_length_b 13.8823
_cell_length_c 6.6144
_cell_angle_alpha 90.00
_cell_angle_beta 90.00
_cell_angle_gamma 90.00
_symmetry_space_group_name_H-M 'C m c 21'
_symmetry_Int_Tables_number 36
_symmetry_space_group_name_Hall 'C 2c -2'
loop_
_atom_site_label
_atom_site_fract_x
_atom_site_fract_y
_atom_site_fract_z
_atom_site_occupancy
Ho1 0.0000 0.0793 0.0000 1
Ho2 0.0000 0.3026 0.3232 1
Ho3 0.2183 0.4808 0.3173 1
Ho4 0.2259 0.2121 0.1229 1
Sc1 0.0000 0.3078 0.8182 1
In1 0.0000 0.5004 0.0725 1
In2 0.1149 0.1253 0.5459 1

(5)
# PmNbAl2 | Alexandria via LeMat-Bulk | PBE | optimized geometry
# - formation energy (meV per atom) = -227
data_PmNbAl2
_cell_length_a 3.5587
_cell_length_b 3.5587
_cell_length_c 6.5586
_cell_angle_alpha 90.00
_cell_angle_beta 90.00
_cell_angle_gamma 90.00
_symmetry_space_group_name_H-M 'P 4/m m m'
_symmetry_Int_Tables_number 123
_symmetry_space_group_name_Hall '-P 4 2'
loop_
_atom_site_label
_atom_site_fract_x
_atom_site_fract_y
_atom_site_fract_z
_atom_site_occupancy
Pm1 0.0000 0.0000 0.0000 1
Nb1 0.0000 0.0000 0.5000 1
Al1 0.5000 0.5000 0.3044 1

(6)
# GdMgZrGa | Alexandria via LeMat-Bulk | PBE | optimized geometry
# - formation energy (meV per atom) = -218
data_GdMgZrGa
_cell_length_a 7.0944
_cell_length_b 7.0944
_cell_length_c 7.0944
_cell_angle_alpha 90.00
_cell_angle_beta 90.00
_cell_angle_gamma 90.00
_symmetry_space_group_name_H-M 'F -4 3 m'
_symmetry_Int_Tables_number 216
_symmetry_space_group_name_Hall 'F -4 2 3'
loop_
_atom_site_label
_atom_site_fract_x
_atom_site_fract_y
_atom_site_fract_z
_atom_site_occupancy
Gd1 0.0000 0.0000 0.0000 1
Mg1 0.2500 0.2500 0.7500 1
Zr1 0.0000 0.0000 0.5000 1
Ga1 0.2500 0.2500 0.2500 1

(7)
# InPOs | Alexandria via LeMat-Bulk | PBE | optimized geometry
# - formation energy (meV per atom) = 95
data_InPOs
_cell_length_a 3.1897
_cell_length_b 3.1897
_cell_length_c 6.0044
_cell_angle_alpha 90.00
_cell_angle_beta 90.00
_cell_angle_gamma 120.00
_symmetry_space_group_name_H-M 'P 3 m 1'
_symmetry_Int_Tables_number 156
_symmetry_space_group_name_Hall 'P 3 -2"'
loop_
_atom_site_label
_atom_site_fract_x
_atom_site_fract_y
_atom_site_fract_z
_atom_site_occupancy
In1 0.0000 0.0000 0.0000 1
P1 0.3333 0.6667 0.6062 1
Os1 0.6667 0.3333 0.3678 1

(8)
# Ba2ZnCr | Alexandria via LeMat-Bulk | PBE | optimized geometry
# - formation energy (meV per atom) = 343
data_Ba2ZnCr
_cell_length_a 3.8722
_cell_length_b 3.8722
_cell_length_c 9.3616
_cell_angle_alpha 90.00
_cell_angle_beta 90.00
_cell_angle_gamma 90.00
_symmetry_space_group_name_H-M 'P 4 m m'
_symmetry_Int_Tables_number 99
_symmetry_space_group_name_Hall 'P 4 -2'
loop_
_atom_site_label
_atom_site_fract_x
_atom_site_fract_y
_atom_site_fract_z
_atom_site_occupancy
Ba1 0.0000 0.0000 0.0000 1
Ba2 0.5000 0.5000 0.4042 1
Zn1 0.5000 0.5000 0.7590 1
Cr1 0.0000 0.0000 0.6569 1

(9)
# CdHgTe2 | Alexandria via LeMat-Bulk | PBE | optimized geometry
# - energy relative to the elements, uncorrected (eV per atom) = -0.15
data_CdHgTe2
_cell_length_a 4.3385
_cell_length_b 4.3385
_cell_length_c 6.1183
_cell_angle_alpha 90.00
_cell_angle_beta 90.00
_cell_angle_gamma 90.00
_symmetry_space_group_name_H-M 'P 4/m m m'
_symmetry_Int_Tables_number 123
_symmetry_space_group_name_Hall '-P 4 2'
loop_
_atom_site_label
_atom_site_fract_x
_atom_site_fract_y
_atom_site_fract_z
_atom_site_occupancy
Cd1 0.0000 0.0000 0.0000 1
Hg1 0.5000 0.5000 0.5000 1
Te1 0.0000 0.0000 0.5000 1
Te2 0.5000 0.5000 0.0000 1

(10)
# Na3PbAu | Alexandria via LeMat-Bulk | PBE | optimized geometry
# - formation energy (meV per atom) = -203
data_Na3PbAu
_cell_length_a 9.6507
_cell_length_b 5.1543
_cell_length_c 11.0867
_cell_angle_alpha 90.00
_cell_angle_beta 108.39
_cell_angle_gamma 90.00
_symmetry_space_group_name_H-M 'C 1 2/m 1'
_symmetry_Int_Tables_number 12
_symmetry_space_group_name_Hall '-C 2y'
loop_
_atom_site_label
_atom_site_fract_x
_atom_site_fract_y
_atom_site_fract_z
_atom_site_occupancy
Na1 0.0055 0.0000 0.3547 1
Na2 0.1507 0.0000 0.9692 1
Na3 0.1962 0.5000 0.6991 1
Pb1 0.0676 0.5000 0.1543 1
Au1 0.2132 0.5000 0.4318 1

(11)
# BaHgAu2 | Alexandria via LeMat-Bulk | PBE | optimized geometry
# - formation energy (meV per atom) = -371
data_BaHgAu2
_cell_length_a 3.9017
_cell_length_b 3.9017
_cell_length_c 7.0538
_cell_angle_alpha 90.00
_cell_angle_beta 90.00
_cell_angle_gamma 90.00
_symmetry_space_group_name_H-M 'P 4 m m'
_symmetry_Int_Tables_number 99
_symmetry_space_group_name_Hall 'P 4 -2'
loop_
_atom_site_label
_atom_site_fract_x
_atom_site_fract_y
_atom_site_fract_z
_atom_site_occupancy
Ba1 0.0000 0.0000 0.0000 1
Hg1 0.5000 0.5000 0.3204 1
Au1 0.0000 0.0000 0.5223 1
Au2 0.5000 0.5000 0.7294 1

(12)
# KRhBr2 | Alexandria via LeMat-Bulk | PBE | optimized geometry
# - energy relative to the elements, uncorrected (eV per atom) = -0.62
data_KRhBr2
_cell_length_a 3.7528
_cell_length_b 5.9638
_cell_length_c 10.3190
_cell_angle_alpha 90.00
_cell_angle_beta 90.00
_cell_angle_gamma 90.00
_symmetry_space_group_name_H-M 'I m m m'
_symmetry_Int_Tables_number 71
_symmetry_space_group_name_Hall '-I 2 2'
loop_
_atom_site_label
_atom_site_fract_x
_atom_site_fract_y
_atom_site_fract_z
_atom_site_occupancy
K1 0.0000 0.0000 0.0000 1
Rh1 0.0000 0.0000 0.5000 1
Br1 0.0000 0.5000 0.1598 1

(13)
# CdRe2W | Alexandria via LeMat-Bulk | PBE | optimized geometry
# - formation energy (meV per atom) = 648
data_CdRe2W
_cell_length_a 5.6475
_cell_length_b 7.9197
_cell_length_c 2.9024
_cell_angle_alpha 90.00
_cell_angle_beta 90.00
_cell_angle_gamma 90.00
_symmetry_space_group_name_H-M 'C m m m'
_symmetry_Int_Tables_number 65
_symmetry_space_group_name_Hall '-C 2 2'
loop_
_atom_site_label
_atom_site_fract_x
_atom_site_fract_y
_atom_site_fract_z
_atom_site_occupancy
Cd1 0.0000 0.0000 0.0000 1
Re1 0.2500 0.2500 0.5000 1
W1 0.0000 0.5000 0.0000 1